1.
Below is a relaxed structure of SrMg2Cr, with properties calculated at the PBE level.

Cell and atoms, written as POSCAR:
```
SrMg2Cr
1.0
-1.0084 2.2819 -10.0965
-4.3927 1.4917 -9.3082
-3.1385 4.7700 -8.6926
Sr Mg Cr
1 2 1
Direct
0.4950 0.4950 0.4950
0.0050 0.0050 0.0050
0.2590 0.2590 0.2590
0.7409 0.7409 0.7409
```

Properties
energy of formation: 0.57 eV per atom



2.
Below is a relaxed structure of V3CoRh, with properties calculated at the PBE level.

Cell and atoms, written as POSCAR:
```
V3CoRh
1.0
-0.9125 0.0790 -2.7909
-4.9610 -2.2440 3.1127
-2.6512 7.3523 1.0750
V Rh Co
6 2 2
Direct
0.8478 0.6939 0.2500
0.6649 0.3305 0.0095
0.1522 0.3061 0.7500
0.6649 0.3305 0.4905
0.3351 0.6695 0.5095
0.3351 0.6695 0.9905
0.0000 0.0000 0.0000
0.0000 0.0000 0.5000
0.1761 0.3521 0.2500
0.8239 0.6479 0.7500
```

Properties
energy relative to the lowest polymorph listed for this composition: 0.000 eV/atom
energy of formation: 0.11 eV per atom



3.
Below is a relaxed structure of U2Se2I, with properties calculated at the PBE level.

Cell and atoms, written as POSCAR:
```
U2Se2I
1.0
-2.6382 -1.9127 -2.3737
2.7361 -4.8929 0.9017
-3.9631 2.1951 6.0594
U Se I
2 2 1
Direct
0.3147 0.8147 0.6294
0.6853 0.1853 0.3706
0.6625 0.6625 0.3249
0.3375 0.3375 0.6751
0.0000 0.0000 0.0000
```

Properties
uncorrected formation energy: -0.830 eV/atom



4.
Below is a relaxed structure of Pm2SbAsRh6, with properties calculated at the PBE level.

Cell and atoms, written as POSCAR:
```
Pm2SbAsRh6
1.0
-4.1161 -0.8413 -3.5491
-4.4700 -3.6737 6.0549
-3.4165 7.6853 2.1407
Rh Pm As Sb
12 4 2 2
Direct
0.2482 0.5188 0.0000
0.2442 0.0098 0.5000
0.0000 0.9123 0.7506
0.7482 0.4812 0.5000
0.0000 0.9123 0.2494
0.2518 0.4812 0.5000
0.5000 0.0877 0.7494
0.7518 0.5188 0.0000
0.7558 0.0098 0.5000
0.5000 0.0877 0.2506
0.7442 0.9902 0.0000
0.2558 0.9902 0.0000
0.0000 0.2792 0.2548
0.5000 0.7208 0.2452
0.0000 0.2792 0.7452
0.5000 0.7208 0.7548
0.5000 0.2469 0.5000
0.0000 0.7531 0.0000
0.0000 0.7362 0.5000
0.5000 0.2638 0.0000
```

Properties
uncorrected formation energy: -0.552 eV/atom



5.
Below is a relaxed structure of EuGdPb2, with properties calculated at the PBE level.

Cell and atoms, written as POSCAR:
```
EuGdPb2
1.0
4.4507 0.0000 0.0000
0.0000 5.2184 0.0000
0.0000 0.0000 5.2184
Pb Eu Gd
2 1 1
Direct
0.0000 0.5000 0.0000
0.0000 0.0000 0.5000
0.5000 0.5000 0.5000
0.5000 0.0000 0.0000
```

Properties
energy relative to the lowest polymorph listed for this composition: 0.000 eV/atom
energy of formation: -0.48 eV per atom



6.
Below is a relaxed structure of RbMo3Rh, with properties calculated at the PBE level.

Cell and atoms, written as POSCAR:
```
RbMo3Rh
1.0
4.9238 0.0000 0.0000
0.0000 4.9238 0.0000
0.0000 0.0000 4.9238
Rb Mo Rh
1 3 1
Direct
0.5000 0.5000 0.5000
0.0000 0.5000 0.0000
0.5000 0.0000 0.0000
0.0000 0.0000 0.5000
0.0000 0.0000 0.0000
```

Properties
energy relative to the lowest polymorph listed for this composition: 0.000 eV/atom
energy of formation: 1.86 eV per atom



7.
Below is a relaxed structure of Ho4AlGa12, with properties calculated at the PBE level.

Cell and atoms, written as POSCAR:
```
Ho4AlGa12
1.0
-0.0170 0.4105 -7.5245
-7.0086 -1.2665 2.4624
2.5338 6.4934 2.8642
Ga Ho Al
12 4 1
Direct
0.0000 0.6955 0.6955
0.5000 0.2500 0.7500
0.3045 0.3045 0.0000
0.7500 0.5000 0.2500
0.0000 0.3045 0.3045
0.6955 0.0000 0.6955
0.6955 0.6955 0.0000
0.2500 0.7500 0.5000
0.5000 0.7500 0.2500
0.3045 0.0000 0.3045
0.2500 0.5000 0.7500
0.7500 0.2500 0.5000
0.0000 0.0000 0.5000
0.5000 0.0000 0.0000
0.0000 0.5000 0.0000
0.5000 0.5000 0.5000
0.0000 0.0000 0.0000
```

Properties
energy of formation: -0.47 eV per atom



8.
Below is a relaxed structure of BaMnMo, with properties calculated at the PBE level.

Cell and atoms, written as POSCAR:
```
BaMnMo
1.0
3.2178 0.0004 -0.0001
-1.2757 6.6080 0.0033
-1.6050 -0.5924 6.5860
Mo Mn Ba
2 2 2
Direct
0.0916 0.6592 0.9273
0.9084 0.3408 0.0727
0.6863 0.9359 0.9004
0.3137 0.0641 0.0996
0.1887 0.2555 0.6041
0.8113 0.7445 0.3959
```

Properties
energy relative to the lowest polymorph listed for this composition: 0.313 eV/atom
energy of formation: 0.76 eV per atom



9.
Below is a relaxed structure of KBa4La, with properties calculated at the PBE level.

Cell and atoms, written as POSCAR:
```
KBa4La
1.0
3.5577 -5.8517 -4.1865
-4.4513 -5.3594 -3.9861
-0.1935 0.1176 -8.0234
La K Ba
1 1 4
Direct
0.0000 0.0000 0.0000
0.7500 0.7500 0.7500
0.8792 0.3736 0.3736
0.3736 0.8792 0.3736
0.3736 0.3736 0.3736
0.3736 0.3736 0.8792
```

Properties
energy of formation: 0.36 eV per atom



10.
Below is a relaxed structure of Li3Tb2Cd4, with properties calculated at the PBE level.

Cell and atoms, written as POSCAR:
```
Li3Tb2Cd4
1.0
5.9717 0.0000 0.0000
0.0000 8.4042 0.0000
-2.9859 0.0000 7.9829
Tb Li Cd
4 6 8
Direct
0.3884 0.0892 0.7768
0.8884 0.4108 0.7768
0.1116 0.5892 0.2232
0.6116 0.9108 0.2232
0.0267 0.7500 0.5533
0.0000 0.0000 0.0000
0.5267 0.7500 0.5533
0.9733 0.2500 0.4467
0.5000 0.5000 0.0000
0.4733 0.2500 0.4467
0.1814 0.9717 0.3628
0.1962 0.7500 0.8925
0.6962 0.7500 0.8925
0.8186 0.0283 0.6372
0.8038 0.2500 0.1075
0.3186 0.4717 0.6372
0.6814 0.5283 0.3628
0.3038 0.2500 0.1075
```

Properties
energy relative to the lowest polymorph listed for this composition: 0.017 eV/atom
energy of formation: -0.21 eV per atom



11.
Below is a relaxed structure of Mn3CdFe, with properties calculated at the PBE level.

Cell and atoms, written as POSCAR:
```
Mn3CdFe
1.0
-0.1581 0.0477 -4.3520
-4.3415 -0.3086 0.1543
-0.3067 4.3440 0.0588
Mn Cd Fe
3 1 1
Direct
0.5000 0.0000 0.0000
0.0000 0.0000 0.5000
0.0000 0.5000 0.0000
0.5000 0.5000 0.5000
0.0000 0.0000 0.0000
```

Properties
energy relative to the lowest polymorph listed for this composition: 0.000 eV/atom
energy of formation: 0.90 eV per atom



12.
Below is a relaxed structure of CaPm2Ga, with properties calculated at the PBE level.

Cell and atoms, written as POSCAR:
```
CaPm2Ga
1.0
4.5096 0.0008 0.0000
-2.2538 5.9854 0.0000
0.0000 0.0000 9.3203
Ga Pm Ca
2 4 2
Direct
0.2454 0.4911 0.2500
0.7546 0.5089 0.7500
0.6474 0.2946 0.4475
0.6474 0.2946 0.0525
0.3526 0.7054 0.5525
0.3526 0.7054 0.9475
0.9385 0.8772 0.2500
0.0615 0.1228 0.7500
```

Properties
energy relative to the lowest polymorph listed for this composition: 0.024 eV/atom
energy of formation: -0.20 eV per atom



13.
Below is a relaxed structure of TbY5ErTm2, with properties calculated at the PBE level.

Cell and atoms, written as POSCAR:
```
TbY5ErTm2
1.0
5.5803 0.0000 0.0000
-2.7901 9.9830 0.0000
0.0000 0.0000 10.5051
Y Tb Tm Er
10 2 4 2
Direct
0.9833 0.9666 0.5218
0.2786 0.5573 0.3148
0.7214 0.4427 0.8148
0.0167 0.0334 0.0218
0.6136 0.2271 0.5237
0.4795 0.9590 0.7381
0.3864 0.7729 0.0237
0.3006 0.6012 0.7053
0.6994 0.3988 0.2053
0.5205 0.0410 0.2381
0.1964 0.3927 0.0134
0.8036 0.6073 0.5134
0.1122 0.2245 0.3157
0.8878 0.7755 0.8157
0.8898 0.7796 0.2383
0.1102 0.2204 0.7383
0.5879 0.1758 0.9529
0.4121 0.8242 0.4529
```

Properties
energy of formation: 0.16 eV per atom



14.
Below is a relaxed structure of BaNaAs2Se, with properties calculated at the PBE level.

Cell and atoms, written as POSCAR:
```
BaNaAs2Se
1.0
-2.4190 4.1840 1.7916
-0.5094 -2.2651 4.6018
4.7113 2.0652 1.5380
As Ba Na Se
2 1 1 1
Direct
0.5000 0.0000 0.0000
0.0000 0.5000 0.0000
0.5000 0.5000 0.5000
0.0000 0.0000 0.0000
0.0000 0.0000 0.5000
```

Properties
uncorrected formation energy: -0.128 eV/atom
energy relative to the lowest polymorph listed for this composition: 0.000 eV/atom



15.
Below is a relaxed structure of CaTc3Ge, with properties calculated at the PBE level.

Cell and atoms, written as POSCAR:
```
CaTc3Ge
1.0
-0.8582 1.7962 -4.2312
0.4359 -4.2531 -1.8940
-4.5760 -0.7421 0.6131
Ge Ca Tc
1 1 3
Direct
0.0000 0.0000 0.0000
0.5000 0.5000 0.5000
0.0000 0.0000 0.5000
0.0000 0.5000 0.0000
0.5000 0.0000 0.0000
```

Properties
energy relative to the lowest polymorph listed for this composition: 0.000 eV/atom
energy of formation: 0.93 eV per atom



16.
Below is a relaxed structure of LiCaTc2, with properties calculated at the PBE level.

Cell and atoms, written as POSCAR:
```
LiCaTc2
1.0
4.4239 -0.0010 0.0090
3.3261 2.9169 0.0090
0.7494 0.2820 5.8663
Tc Li Ca
2 1 1
Direct
0.2696 0.2696 0.1642
0.9945 0.9945 0.0330
0.7344 0.7344 0.8020
0.5015 0.5015 0.5008
```

Properties
energy relative to the lowest polymorph listed for this composition: 0.136 eV/atom
energy of formation: 0.36 eV per atom



17.
Below is a relaxed structure of TaTlIn, with properties calculated at the PBE level.

Cell and atoms, written as POSCAR:
```
TaTlIn
1.0
-1.5492 6.0602 -4.5904
-3.8969 6.0590 -2.6529
1.5970 2.2504 1.2852
In Tl Ta
1 1 1
Direct
0.9852 0.9852 0.0148
0.6761 0.6761 0.3239
0.3387 0.3387 0.6613
```

Properties
energy relative to the lowest polymorph listed for this composition: 0.070 eV/atom
energy of formation: 0.50 eV per atom



18.
Below is a relaxed structure of Li8AgPd2, with properties calculated at the PBE level.

Cell and atoms, written as POSCAR:
```
Li8AgPd2
1.0
4.0383 0.0000 -1.1486
-0.4292 6.2004 -1.5092
-0.1616 -0.8009 7.1052
Li Ag Pd
8 1 2
Direct
0.6103 0.4606 0.2206
0.3172 0.0880 0.6343
0.3897 0.5394 0.7794
0.8497 0.7897 0.6995
0.9559 0.2652 0.9117
0.6828 0.9120 0.3657
0.0441 0.7348 0.0883
0.1503 0.2103 0.3005
0.5000 0.0000 0.0000
0.2216 0.6497 0.4433
0.7784 0.3503 0.5567
```

Properties
energy relative to the lowest polymorph listed for this composition: 0.000 eV/atom
energy of formation: -0.25 eV per atom



19.
Below is a relaxed structure of Pr2YPu, with properties calculated at the PBE level.

Cell and atoms, written as POSCAR:
```
Pr2YPu
1.0
-4.7933 0.2775 3.1389
-0.3030 -2.7546 5.0225
-0.0486 2.9748 4.9044
Pu Pr Y
1 2 1
Direct
0.0000 0.0000 0.0000
0.7498 0.7498 0.7507
0.2502 0.2502 0.2493
0.5000 0.5000 0.5000
```

Properties
energy relative to the lowest polymorph listed for this composition: 0.103 eV/atom
energy of formation: 0.22 eV per atom



20.
Below is a relaxed structure of NaTb2SmSe4, with properties calculated at the PBE level.

Cell and atoms, written as POSCAR:
```
NaTb2SmSe4
1.0
-1.5437 1.3822 3.5506
-3.0064 -6.4324 1.1970
4.6479 -4.1158 3.6231
Se Na Tb Sm
4 1 2 1
Direct
0.5000 0.2430 0.7525
0.0000 0.2452 0.2541
0.5000 0.7570 0.2475
0.0000 0.7548 0.7459
0.0000 0.5000 0.5000
0.0000 0.0000 0.0000
0.5000 0.0000 0.5000
0.5000 0.5000 0.0000
```

Properties
uncorrected formation energy: -1.753 eV/atom



21.
Below is a relaxed structure of SmBiH6Ir2, with properties calculated at the PBE level.

Cell and atoms, written as POSCAR:
```
SmBiH6Ir2
1.0
7.1605 -1.0153 0.8224
-1.8843 6.9824 0.8224
-0.6146 -0.6951 4.5350
H Bi Sm Ir
12 2 2 4
Direct
0.0729 0.4390 0.4769
0.5610 0.9271 0.0231
0.8730 0.8724 0.9997
0.4387 0.0717 0.5252
0.1276 0.1270 0.5003
0.4390 0.0729 0.9769
0.1270 0.1276 0.0003
0.9271 0.5610 0.5231
0.0717 0.4387 0.0252
0.5613 0.9283 0.4748
0.8724 0.8730 0.4997
0.9283 0.5613 0.9748
0.4059 0.5941 0.7500
0.5941 0.4059 0.2500
0.8362 0.1638 0.7500
0.1638 0.8362 0.2500
0.8381 0.6773 0.7495
0.1619 0.3227 0.2505
0.3227 0.1619 0.7505
0.6773 0.8381 0.2495
```



22.
Below is a relaxed structure of ErSc3O6, with properties calculated at the PBE level.

Cell and atoms, written as POSCAR:
```
ErSc3O6
1.0
-1.7039 0.8149 -2.5774
-7.0664 0.9973 4.9869
4.2199 7.7479 -0.3401
Sc O Er
6 12 2
Direct
0.7500 0.1672 0.0903
0.2500 0.3220 0.4911
0.7500 0.6780 0.5089
0.7500 0.4491 0.8307
0.2500 0.5509 0.1693
0.2500 0.8328 0.9097
0.2500 0.8852 0.5445
0.7500 0.7257 0.2712
0.7500 0.3989 0.0605
0.2500 0.0757 0.9062
0.2500 0.6011 0.9395
0.7500 0.4639 0.6020
0.7500 0.1148 0.4555
0.2500 0.5361 0.3980
0.2500 0.2743 0.7288
0.7500 0.7965 0.7565
0.7500 0.9243 0.0938
0.2500 0.2035 0.2435
0.7500 0.0549 0.6931
0.2500 0.9451 0.3069
```

Properties
uncorrected formation energy: -3.517 eV/atom



23.
Below is a relaxed structure of Hg4As2I3, with properties calculated at the PBE level.

Cell and atoms, written as POSCAR:
```
Hg4As2I3
1.0
8.8286 -0.0750 -0.0537
-0.2158 9.0825 0.1408
-0.2158 3.0597 8.5527
Hg I As
8 6 4
Direct
0.7036 0.2619 0.2031
0.2964 0.7381 0.7969
0.4747 0.8282 0.2763
0.0253 0.7237 0.1718
0.5253 0.1718 0.7237
0.7964 0.7969 0.7381
0.9747 0.2763 0.8282
0.2036 0.2031 0.2619
0.2500 0.5647 0.4353
0.4210 0.3277 0.9144
0.5790 0.6723 0.0856
0.9210 0.9144 0.3277
0.0790 0.0856 0.6723
0.7500 0.4353 0.5647
0.9745 0.3557 0.0744
0.4745 0.0744 0.3557
0.5255 0.9256 0.6443
0.0255 0.6443 0.9256
```

Properties
uncorrected formation energy: -0.099 eV/atom
energy relative to the lowest polymorph listed for this composition: 0.059 eV/atom



Number 1: E -12.196 eV per cell. Number 2: E -82.512 eV per cell. Number 3: E -35.245 eV per cell. Number 4: E -135.805 eV per cell. Number 5: E -33.702 eV per cell. Number 6: E -31.498 eV per cell. Number 7: E -66.381 eV per cell. Number 8: E -39.259 eV per cell. Number 9: E -11.541 eV per cell. Number 10: E -41.136 eV per cell. Number 11: E -32.384 eV per cell. Number 12: E -30.697 eV per cell. Number 13: E -98.059 eV per cell. Number 14: E -16.665 eV per cell. Number 15: E -33.050 eV per cell. Number 16: E -23.215 eV per cell. Number 17: E -15.451 eV per cell. Number 18: E -31.305 eV per cell. Number 19: E -29.474 eV per cell. Number 20: E -43.265 eV per cell. Number 21: E -97.214 eV per cell. Number 22: E -176.951 eV per cell. Number 23: E -32.091 eV per cell.